[1]
Compound: CoTe2Pb
Source: the Alexandria database
Functional: PBE
Structure: relaxed

Cell lengths 3.9277, 5.6158, 9.2168 Å; angles 90.00, 90.00, 90.00 degrees
Space group Cmmm (No. 65)
Symmetry-distinct sites (fractional):
Co  0.0000  0.0000  0.0000 (multiplicity 2)
Te  0.0000  0.5000  0.1795 (multiplicity 4)
Pb  0.0000  0.0000  0.5000 (multiplicity 2)

Output
- VASP energy (eV/atom) = -4.065
- raw formation energy (meV per atom) = 210

***

[2]
Compound: CoTe3Pb
Source: the Alexandria database
Functional: PBE
Structure: relaxed

Cell lengths 5.1472, 5.1472, 5.1472 Å; angles 90.00, 90.00, 90.00 degrees
Space group Pm-3m (No. 221)
Symmetry-distinct sites (fractional):
Co  0.0000  0.0000  0.0000 (multiplicity 1)
Te  0.0000  0.0000  0.5000 (multiplicity 3)
Pb  0.5000  0.5000  0.5000 (multiplicity 1)

Output
- ΔE to the lowest computed polymorph (eV/atom) = 0.0000
- VASP energy (eV/atom) = -3.875
- raw formation energy (meV per atom) = 172

***

[3]
Compound: CoTe2Pb
Source: the Alexandria database
Functional: PBE
Structure: relaxed

Cell lengths 7.4385, 7.4385, 7.4385 Å; angles 90.00, 90.00, 90.00 degrees
Space group Fm-3m (No. 225)
Symmetry-distinct sites (fractional):
Co  0.0000  0.0000  0.0000 (multiplicity 4)
Te  0.2500  0.2500  0.2500 (multiplicity 8)
Pb  0.0000  0.0000  0.5000 (multiplicity 4)

Output
- VASP energy (eV/atom) = -3.842
- raw formation energy (meV per atom) = 432

***

[4]
Compound: CoTe2Pb
Source: the Alexandria database
Functional: PBE
Structure: relaxed

Cell lengths 3.3335, 3.3335, 8.6320 Å; angles 90.00, 90.00, 90.00 degrees
Space group P4/mmm (No. 123)
Symmetry-distinct sites (fractional):
Co  0.0000  0.0000  0.0000 (multiplicity 1)
Te  0.5000  0.5000  0.1776 (multiplicity 2)
Pb  0.0000  0.0000  0.5000 (multiplicity 1)

Output
- VASP energy (eV/atom) = -4.045
- raw formation energy (meV per atom) = 230

***

[5]
Compound: CoTe2Pb
Source: the Alexandria database
Functional: PBE
Structure: relaxed

Cell lengths 3.6909, 3.6909, 28.0432 Å; angles 90.00, 90.00, 120.00 degrees
Space group R-3m (No. 166, hexagonal axes)
Symmetry-distinct sites (fractional):
Co  0.0000  0.0000  0.0000 (multiplicity 3)
Te  0.0000  0.0000  0.3824 (multiplicity 6)
Pb  0.0000  0.0000  0.5000 (multiplicity 3)

Output
- VASP energy (eV/atom) = -4.409
- raw formation energy (meV per atom) = -134

***

[6]
Compound: Co4TePb
Source: the Alexandria database
Functional: PBE
Structure: relaxed

Cell lengths 7.2040, 7.2040, 7.2040 Å; angles 90.00, 90.00, 90.00 degrees
Space group F-43m (No. 216)
Symmetry-distinct sites (fractional):
Co  0.1253  0.1253  0.1253 (multiplicity 16)
Te  0.0000  0.0000  0.5000 (multiplicity 4)
Pb  0.2500  0.2500  0.7500 (multiplicity 4)

Output
- VASP energy (eV/atom) = -5.429
- raw formation energy (meV per atom) = 450

***

[7]
Compound: CoTe2Pb
Source: the Alexandria database
Functional: PBE
Structure: relaxed

Cell lengths 6.3683, 3.6765, 8.9314 Å; angles 90.00, 103.58, 90.00 degrees
Space group C2/m (No. 12)
Symmetry-distinct sites (fractional):
Co  0.0000  0.0000  0.0000 (multiplicity 2)
Te  0.2204  0.5000  0.1629 (multiplicity 4)
Pb  0.0000  0.5000  0.5000 (multiplicity 2)

Output
- VASP energy (eV/atom) = -4.389
- raw formation energy (meV per atom) = -115

***

[8]
Compound: CoTe2Pb
Source: the Alexandria database
Functional: PBE
Structure: relaxed

Cell lengths 5.5052, 3.8047, 5.5910 Å; angles 90.00, 119.08, 90.00 degrees
Space group P2/m (No. 10)
Symmetry-distinct sites (fractional):
Co  0.0000  0.0000  0.0000 (multiplicity 1)
Te  0.3435  0.5000  0.1703 (multiplicity 2)
Pb  0.0000  0.0000  0.5000 (multiplicity 1)

Output
- VASP energy (eV/atom) = -4.291
- raw formation energy (meV per atom) = -17

***

[9]
Compound: CoTe3Pb
Source: the Alexandria database
Functional: PBE
Structure: relaxed

Cell lengths 5.8321, 5.8321, 5.8321 Å; angles 90.00, 90.00, 90.00 degrees
Space group Pm-3m (No. 221)
Symmetry-distinct sites (fractional):
Co  0.0000  0.0000  0.0000 (multiplicity 1)
Te  0.0000  0.5000  0.5000 (multiplicity 3)
Pb  0.5000  0.5000  0.5000 (multiplicity 1)

Output
- ΔE to the lowest computed polymorph (eV/atom) = 1.0469
- VASP energy (eV/atom) = -2.829
- raw formation energy (meV per atom) = 1219

***

[10]
Compound: CoTe2Pb
Source: the Alexandria database
Functional: PBE
Structure: relaxed

Cell lengths 3.2419, 3.2419, 9.6956 Å; angles 90.00, 90.00, 90.00 degrees
Space group P4mm (No. 99)
Symmetry-distinct sites (fractional):
Co  0.0000  0.0000  0.0000 (multiplicity 1)
Te  0.0000  0.0000  0.5216 (multiplicity 1)
Te  0.5000  0.5000  0.8759 (multiplicity 1)
Pb  0.5000  0.5000  0.2153 (multiplicity 1)

Output
- VASP energy (eV/atom) = -4.154
- raw formation energy (meV per atom) = 120

***

[11]
Compound: CoTe4Pb
Source: the Alexandria database
Functional: PBE
Structure: relaxed

Cell lengths 8.9959, 8.9959, 8.9959 Å; angles 90.00, 90.00, 90.00 degrees
Space group F-43m (No. 216)
Symmetry-distinct sites (fractional):
Co  0.0000  0.0000  0.0000 (multiplicity 4)
Te  0.1257  0.1257  0.3743 (multiplicity 16)
Pb  0.2500  0.2500  0.7500 (multiplicity 4)

Output
- VASP energy (eV/atom) = -3.135
- raw formation energy (meV per atom) = 762

***

[12]
Compound: CoTe2Pb
Source: the Alexandria database
Functional: PBE
Structure: relaxed

Cell lengths 4.6015, 4.0084, 6.7181 Å; angles 90.00, 109.94, 90.00 degrees
Space group Pm (No. 6)
Symmetry-distinct sites (fractional):
Co  0.0000  0.0000  0.0000 (multiplicity 1)
Te  0.1126  0.5000  0.2266 (multiplicity 1)
Te  0.8074  0.0000  0.6153 (multiplicity 1)
Pb  0.4194  0.5000  0.8389 (multiplicity 1)

Output
- VASP energy (eV/atom) = -4.181
- raw formation energy (meV per atom) = 94